#P
The following is a DFT calculation (GGA-PBE) of Tb3Sm3Y after structural relaxation.

Unit cell a=8.327 b=6.364 c=6.364 alpha=102.40 beta=115.86 gamma=115.86
Element x y z (fractional)
Sm (0.618, 0.643, 0.643)
Sm (0.975, 0.357, 0.000)
Sm (0.975, 0.000, 0.357)
Tb (0.415, 0.401, 0.000)
Tb (0.415, 0.000, 0.401)
Tb (0.014, 0.599, 0.599)
Y (0.563, 0.000, 0.000)

---

#Q
The following is a DFT calculation (GGA-PBE) of Tb3Sm3Y after structural relaxation.

Unit cell a=6.620 b=6.620 c=10.754 alpha=90.19 beta=90.19 gamma=95.61
Element x y z (fractional)
Tb (0.186, 0.814, 0.000)
Tb (0.670, 0.670, 0.569)
Tb (0.815, 0.185, 0.500)
Tb (0.814, 0.186, 0.000)
Tb (0.330, 0.330, 0.431)
Tb (0.185, 0.815, 0.500)
Sm (0.869, 0.515, 0.250)
Sm (0.032, 0.032, 0.250)
Sm (0.968, 0.968, 0.750)
Sm (0.515, 0.869, 0.250)
Sm (0.131, 0.485, 0.750)
Sm (0.485, 0.131, 0.750)
Y (0.670, 0.670, 0.931)
Y (0.330, 0.330, 0.069)

---

Energetically preferred structure: #Q | next structure: +10.6 kJ/mol of atoms

---

#P
The following is a DFT calculation (GGA-PBE) of TbSmY3 after structural relaxation.

Unit cell a=5.469 b=7.096 c=8.829 alpha=90.03 beta=108.05 gamma=90.00
Element x y z (fractional)
Y (0.891, 0.500, 0.281)
Y (0.110, 0.000, 0.719)
Y (0.890, 0.000, 0.281)
Y (0.109, 0.500, 0.719)
Y (0.300, 0.750, 0.099)
Y (0.700, 0.250, 0.901)
Tb (0.700, 0.750, 0.899)
Tb (0.300, 0.250, 0.101)
Sm (0.501, 0.750, 0.501)
Sm (0.499, 0.250, 0.499)

---

#Q
The following is a DFT calculation (GGA-PBE) of TbSmY3 after structural relaxation.

Unit cell a=3.634 b=8.509 c=11.710 alpha=90.00 beta=90.00 gamma=102.28
Element x y z (fractional)
Y (0.846, 0.192, 0.000)
Y (0.154, 0.808, 0.500)
Y (0.154, 0.808, 0.000)
Y (0.846, 0.192, 0.500)
Y (0.335, 0.173, 0.750)
Y (0.665, 0.827, 0.250)
Tb (0.676, 0.852, 0.750)
Tb (0.324, 0.148, 0.250)
Sm (0.003, 0.511, 0.750)
Sm (0.997, 0.489, 0.250)

---

Energetically preferred structure: #P | next structure: +25.6 kJ/mol of atoms

---

#P
The following is a DFT calculation (GGA-PBE) of Tb5Sm2Y4 after structural relaxation.

Unit cell a=3.518 b=9.077 c=12.651 alpha=111.02 beta=97.99 gamma=90.00
Element x y z (fractional)
Tb (0.144, 0.340, 0.288)
Tb (0.856, 0.052, 0.712)
Tb (0.144, 0.948, 0.288)
Tb (0.500, 0.000, 0.000)
Tb (0.856, 0.660, 0.712)
Y (0.000, 0.690, 0.000)
Y (0.598, 0.598, 0.196)
Y (0.000, 0.310, 0.000)
Y (0.402, 0.402, 0.804)
Sm (0.732, 0.732, 0.465)
Sm (0.268, 0.268, 0.535)

---

#Q
The following is a DFT calculation (GGA-PBE) of Tb5Sm2Y4 after structural relaxation.

Unit cell a=6.668 b=6.668 c=9.323 alpha=75.10 beta=75.10 gamma=66.77
Element x y z (fractional)
Tb (0.785, 0.346, 0.224)
Tb (0.215, 0.654, 0.776)
Tb (0.346, 0.785, 0.224)
Tb (0.000, 0.000, 0.500)
Tb (0.654, 0.215, 0.776)
Y (0.328, 0.328, 0.125)
Y (0.317, 0.317, 0.500)
Y (0.683, 0.683, 0.500)
Y (0.672, 0.672, 0.875)
Sm (0.854, 0.854, 0.123)
Sm (0.146, 0.146, 0.877)

---

Energetically preferred structure: #Q | next structure: +9.3 kJ/mol of atoms

---

#P
The following is a DFT calculation (GGA-PBE) of Tb3Sm5Y2 after structural relaxation.

Unit cell a=10.042 b=10.030 c=11.282 alpha=129.61 beta=129.63 gamma=64.29
Element x y z (fractional)
Sm (0.522, 0.272, 0.545)
Sm (0.380, 0.127, 0.753)
Sm (0.269, 0.519, 0.038)
Sm (0.620, 0.873, 0.247)
Sm (0.982, 0.232, 0.463)
Sm (0.018, 0.768, 0.537)
Sm (0.478, 0.728, 0.455)
Sm (0.127, 0.374, 0.247)
Sm (0.731, 0.481, 0.962)
Sm (0.873, 0.626, 0.753)
Tb (0.772, 0.022, 0.044)
Tb (0.027, 0.780, 0.249)
Tb (0.973, 0.220, 0.751)
Tb (0.278, 0.530, 0.751)
Tb (0.722, 0.470, 0.249)
Tb (0.228, 0.978, 0.956)
Y (0.780, 0.027, 0.752)
Y (0.220, 0.973, 0.248)
Y (0.528, 0.275, 0.248)
Y (0.472, 0.725, 0.752)

---

#Q
The following is a DFT calculation (GGA-PBE) of Tb3Sm5Y2 after structural relaxation.

Unit cell a=10.982 b=9.956 c=9.956 alpha=56.38 beta=56.53 gamma=56.53
Element x y z (fractional)
Sm (0.124, 0.471, 0.280)
Sm (0.876, 0.529, 0.720)
Sm (0.624, 0.280, 0.471)
Sm (0.376, 0.720, 0.529)
Sm (0.750, 0.500, 0.500)
Sm (0.000, 0.750, 0.750)
Sm (0.250, 0.500, 0.500)
Sm (0.500, 0.750, 0.750)
Sm (0.500, 0.250, 0.250)
Sm (0.000, 0.250, 0.250)
Y (0.375, 0.031, 0.218)
Y (0.875, 0.218, 0.031)
Y (0.125, 0.782, 0.969)
Y (0.625, 0.969, 0.782)
Tb (0.250, 0.000, 0.000)
Tb (0.376, 0.372, 0.876)
Tb (0.750, 0.000, 0.000)
Tb (0.124, 0.124, 0.628)
Tb (0.876, 0.876, 0.372)
Tb (0.624, 0.628, 0.124)

---

Energetically preferred structure: #P | next structure: +19.3 kJ/mol of atoms